Here is a relaxed structure of PaHgS from Alexandria via LeMat-Bulk. Energies are from PBE.

Lattice parameters (Å, degrees): 3.461 3.461 6.969 90.00 90.00 120.00
Fractional coordinates of all 3 atoms:
Hg 0.000 0.000 0.993
Pa 0.667 0.333 0.372
S 0.333 0.667 0.635

The calculation puts the calculated volume at 24.1 Å³ per atom. The value obtained for the total energy is -5.17 eV per atom. As for the space group: No. 156. The calculation puts the uncorrected formation energy at -0.53 eV per atom. The value obtained for the energy above the most stable polymorph in this dataset is 169.7 meV/atom.

***

Here is a relaxed structure of PaHgS from Alexandria via LeMat-Bulk. Energies are from PBE.

Lattice parameters (Å, degrees): 4.794 6.401 6.400 51.52 68.00 68.01
Last column: magnetic moment on the atom in μB.
Fractional coordinates of all 6 atoms:
S 0.311 0.189 0.189  -0.01
Pa 0.698 0.302 0.302  0.27
Hg 0.000 0.750 0.250  0.01
Hg 0.000 0.250 0.750  0.01
S 0.689 0.811 0.811  -0.01
Pa 0.302 0.698 0.698  0.27

The calculation puts the calculated volume at 23.3 Å³ per atom. The value obtained for the total energy is -5.34 eV per atom. As for the space group: No. 71. The calculation puts the uncorrected formation energy at -0.70 eV per atom. The value obtained for the energy above the most stable polymorph in this dataset is 0.0 meV/atom.

***

Here is a relaxed structure of PaHgS2 from Alexandria via LeMat-Bulk. Energies are from PBE.

Lattice parameters (Å, degrees): 3.391 3.391 9.127 90.00 90.00 90.00
Last column: magnetic moment on the atom in μB.
Fractional coordinates of all 4 atoms:
Pa 0.500 0.500 0.000  0.39
Hg 0.500 0.500 0.500  0.00
S 0.000 0.000 0.165  -0.02
S 0.000 0.000 0.835  -0.02

The calculation puts the calculated volume at 26.2 Å³ per atom. The value obtained for the total energy is -5.58 eV per atom. As for the space group: No. 123. The calculation puts the uncorrected formation energy at -1.06 eV per atom. The value obtained for the energy above the most stable polymorph in this dataset is 75.0 meV/atom.

***

Here is a relaxed structure of PaHgS2 from Alexandria via LeMat-Bulk. Energies are from PBE.

Lattice parameters (Å, degrees): 4.050 4.050 21.079 90.00 90.00 120.00
Last column: magnetic moment on the atom in μB.
Fractional coordinates of all 8 atoms:
Pa 0.000 0.000 0.500  0.92
Pa 0.000 0.000 0.000  0.92
Hg 0.333 0.667 0.250  0.00
S 0.333 0.667 0.066  -0.03
S 0.333 0.667 0.434  -0.03
S 0.667 0.333 0.566  -0.03
S 0.667 0.333 0.934  -0.03
Hg 0.667 0.333 0.750  0.00

The calculation puts the calculated volume at 37.4 Å³ per atom. The value obtained for the total energy is -5.65 eV per atom. As for the space group: No. 194. The calculation puts the uncorrected formation energy at -1.14 eV per atom. The value obtained for the energy above the most stable polymorph in this dataset is 2.0 meV/atom.

***

Here is a relaxed structure of PaHg2S2 from Alexandria via LeMat-Bulk. Energies are from PBE.

Lattice parameters (Å, degrees): 4.051 4.054 12.232 81.10 90.00 119.98
Last column: magnetic moment on the atom in μB.
Fractional coordinates of all 5 atoms:
Pa 0.000 0.000 0.000  0.92
S 0.631 0.261 0.116  -0.03
S 0.369 0.739 0.884  -0.03
Hg 0.866 0.732 0.393  0.00
Hg 0.134 0.268 0.607  0.00

The calculation puts the calculated volume at 34.2 Å³ per atom. The value obtained for the total energy is -4.57 eV per atom. As for the space group: No. 12. The calculation puts the uncorrected formation energy at -0.90 eV per atom.

***

Here is a relaxed structure of PaHgS2 from Alexandria via LeMat-Bulk. Energies are from PBE.

Lattice parameters (Å, degrees): 4.053 4.053 9.871 78.15 78.15 60.00
Last column: magnetic moment on the atom in μB.
Fractional coordinates of all 4 atoms:
S 0.715 0.715 0.854  -0.03
Hg 0.500 0.500 0.500  0.00
S 0.285 0.285 0.146  -0.03
Pa 0.000 0.000 0.000  0.92

The calculation puts the calculated volume at 34.1 Å³ per atom. The value obtained for the total energy is -5.65 eV per atom. As for the space group: No. 166. The calculation puts the uncorrected formation energy at -1.14 eV per atom. The value obtained for the energy above the most stable polymorph in this dataset is 0.4 meV/atom.

***

Here is a relaxed structure of PaHgS from Alexandria via LeMat-Bulk. Energies are from PBE.

Lattice parameters (Å, degrees): 3.481 3.481 6.452 105.65 105.65 90.00
Last column: magnetic moment on the atom in μB.
Fractional coordinates of all 3 atoms:
Hg 0.004 0.004 0.008  0.01
Pa 0.699 0.699 0.398  0.53
S 0.297 0.297 0.594  -0.01

The calculation puts the calculated volume at 24.1 Å³ per atom. The value obtained for the total energy is -5.27 eV per atom. As for the space group: No. 107. The calculation puts the uncorrected formation energy at -0.63 eV per atom. The value obtained for the energy above the most stable polymorph in this dataset is 73.8 meV/atom.

***

Here is a relaxed structure of Pa4HgS8 from Alexandria via LeMat-Bulk. Energies are from PBE.

Lattice parameters (Å, degrees): 4.060 9.903 10.222 83.45 78.54 78.17
Last column: magnetic moment on the atom in μB.
Fractional coordinates of all 13 atoms:
S 0.230 0.641 0.899  -0.03
S 0.848 0.978 0.325  -0.03
S 0.801 0.363 0.034  -0.03
Pa 0.370 0.823 0.437  0.93
S 0.154 0.324 0.369  -0.03
Pa 0.177 0.502 0.145  0.94
Hg 0.517 0.000 0.967  0.00
S 0.475 0.340 0.709  -0.03
S 0.183 0.025 0.609  -0.03
Pa 0.855 0.502 0.789  0.94
Pa 0.661 0.181 0.497  0.93
S 0.878 0.680 0.565  -0.03
S 0.556 0.664 0.225  -0.03

The calculation puts the calculated volume at 30.2 Å³ per atom. The value obtained for the total energy is -6.90 eV per atom. As for the space group: No. 8. The calculation puts the uncorrected formation energy at -1.41 eV per atom.

***

Here is a relaxed structure of PaHgS2 from Alexandria via LeMat-Bulk. Energies are from PBE.

Lattice parameters (Å, degrees): 4.059 4.059 9.838 78.10 78.10 60.00
Last column: magnetic moment on the atom in μB.
Fractional coordinates of all 4 atoms:
Hg 0.501 0.501 0.497  0.00
S 0.048 0.048 0.855  -0.03
Pa 0.666 0.666 0.001  0.92
S 0.285 0.285 0.146  -0.03

The calculation puts the calculated volume at 34.1 Å³ per atom. The value obtained for the total energy is -5.65 eV per atom. As for the space group: No. 160. The calculation puts the uncorrected formation energy at -1.14 eV per atom. The value obtained for the energy above the most stable polymorph in this dataset is 0.0 meV/atom.

***

Here is a relaxed structure of Pa3Hg5S12 from Alexandria via LeMat-Bulk. Energies are from PBE.

Lattice parameters (Å, degrees): 13.585 13.585 13.585 109.47 109.47 109.47
Last column: magnetic moment on the atom in μB.
Fractional coordinates of all 80 atoms:
S 0.055 0.638 0.727  -0.02
S 0.172 0.089 0.727  -0.02
Hg 0.000 0.500 0.000  0.02
S 0.583 0.945 0.672  -0.02
S 0.727 0.589 0.172  -0.02
Hg 0.375 0.250 0.125  0.00
S 0.411 0.138 0.583  -0.02
S 0.583 0.638 0.411  -0.02
S 0.862 0.273 0.445  -0.02
S 0.672 0.227 0.589  -0.02
S 0.411 0.273 0.328  -0.02
S 0.273 0.862 0.945  -0.02
Hg 0.750 0.125 0.875  0.00
Hg 0.250 0.375 0.625  0.00
S 0.638 0.583 0.911  -0.02
S 0.328 0.773 0.411  -0.02
Hg 0.500 0.500 0.000  0.02
S 0.055 0.417 0.828  -0.02
S 0.945 0.583 0.172  -0.02
Pa 0.375 0.625 0.250  0.38
Hg 0.000 0.500 0.500  0.02
S 0.945 0.362 0.273  -0.02
Hg 0.750 0.625 0.375  0.00
S 0.089 0.172 0.227  -0.02
Hg 0.500 0.500 0.500  0.02
S 0.555 0.227 0.138  -0.02
Hg 0.000 0.000 0.500  0.02
S 0.227 0.555 0.638  -0.02
S 0.828 0.917 0.055  -0.02
S 0.773 0.445 0.362  -0.02
S 0.917 0.089 0.862  -0.02
Pa 0.875 0.125 0.250  0.38
Hg 0.625 0.750 0.875  0.00
Hg 0.625 0.875 0.250  0.00
S 0.638 0.055 0.227  -0.02
S 0.089 0.917 0.362  -0.02
S 0.362 0.945 0.773  -0.02
Pa 0.750 0.375 0.125  0.38
S 0.273 0.411 0.828  -0.02
S 0.862 0.589 0.917  -0.02
S 0.417 0.055 0.328  -0.02
S 0.589 0.862 0.417  -0.02
Pa 0.625 0.375 0.750  0.38
S 0.911 0.083 0.638  -0.02
S 0.727 0.138 0.055  -0.02
Hg 0.875 0.625 0.750  0.00
Pa 0.250 0.625 0.875  0.38
S 0.917 0.828 0.555  -0.02
Hg 0.125 0.375 0.250  0.00
Hg 0.000 0.000 0.000  0.02
S 0.138 0.411 0.083  -0.02
Pa 0.250 0.125 0.375  0.38
S 0.672 0.445 0.583  -0.02
Hg 0.500 0.000 0.000  0.02
S 0.417 0.362 0.589  -0.02
S 0.083 0.911 0.138  -0.02
S 0.445 0.672 0.083  -0.02
S 0.555 0.328 0.917  -0.02
Pa 0.375 0.750 0.625  0.38
S 0.911 0.828 0.773  -0.02
Hg 0.500 0.000 0.500  0.02
S 0.227 0.672 0.089  -0.02
Hg 0.375 0.125 0.750  0.00
S 0.172 0.083 0.945  -0.02
Pa 0.750 0.875 0.625  0.38
S 0.445 0.773 0.862  -0.02
Hg 0.250 0.875 0.125  0.00
Hg 0.875 0.250 0.625  0.00
Hg 0.125 0.750 0.375  0.00
Pa 0.125 0.250 0.875  0.38
S 0.138 0.727 0.555  -0.02
Pa 0.625 0.250 0.375  0.38
S 0.083 0.172 0.445  -0.02
Pa 0.125 0.875 0.750  0.38
S 0.773 0.328 0.911  -0.02
S 0.828 0.911 0.273  -0.02
S 0.362 0.417 0.089  -0.02
S 0.589 0.727 0.672  -0.02
S 0.328 0.555 0.417  -0.02
Pa 0.875 0.750 0.125  0.38

The calculation puts the calculated volume at 24.1 Å³ per atom. The value obtained for the total energy is -4.64 eV per atom. As for the space group: No. 230. The calculation puts the uncorrected formation energy at -0.66 eV per atom.